Entry 1:
! WSBrO2 (SCAN, single point on PBEsol structure); values from VASP
! magnetic moment: 0.000 μB per formula unit
! SG: P4/mmm, No. 123
! raw total energy: -116.02 eV for the cell shown
! D(E_F): 0.4285 states/eV/atom
&SYSTEM
  ibrav = 0, nat = 5, ntyp = 4
/
ATOMIC_SPECIES
W 183.84 W.upf
S 32.06 S.upf
O 16.00 O.upf
Br 79.90 Br.upf
ATOMIC_POSITIONS angstrom
W 0.000 0.000 0.000
S 0.000 0.000 2.490
O 1.916 0.000 0.000
O 0.000 1.916 0.000
Br 1.916 1.916 2.490
CELL_PARAMETERS angstrom
3.832 0.000 0.000
0.000 3.832 0.000
0.000 0.000 4.981


Entry 2:
! Sb8Br2O11 (SCAN, single point on PBEsol structure); values from VASP
! magnetic moment: 0.000 μB per formula unit
! SG: P-1, No. 2
! raw total energy: -1733.22 eV for the cell shown
! D(E_F): 0.0000 states/eV/atom
&SYSTEM
  ibrav = 0, nat = 84, ntyp = 3
/
ATOMIC_SPECIES
Sb 121.76 Sb.upf
O 16.00 O.upf
Br 79.90 Br.upf
ATOMIC_POSITIONS angstrom
Sb 0.248 -3.462 -7.977
Sb 6.203 -4.449 -8.776
O 5.120 -10.507 -3.116
Sb 5.486 -3.620 -4.416
O 3.591 -10.306 -11.509
O -2.111 -8.417 -5.541
Sb 3.416 -17.718 -10.229
Sb 0.688 -15.833 -10.090
O -0.460 -11.975 -8.978
O -1.279 -7.583 -7.685
O 3.278 -3.777 -4.606
O 3.257 -12.147 -2.680
Sb 7.863 -9.867 -7.317
O 2.917 -7.306 -11.826
Sb 2.355 -5.406 -5.451
Sb -0.121 -10.731 -10.703
Sb 3.374 -10.489 -4.260
O 6.648 -14.147 -6.863
Br 0.072 -11.302 -4.374
Br 6.102 -8.150 -10.132
O 2.897 -15.675 -9.900
O 0.213 -4.373 -9.847
O 4.306 -13.292 -10.854
O -1.928 -6.322 -10.135
Sb 6.295 -8.722 -3.803
O 4.185 -6.169 -5.383
Sb -3.309 -5.175 -9.237
O 0.863 -5.215 0.424
O 7.991 -4.180 -7.730
O 1.054 -8.946 -11.390
O 0.314 -6.065 -12.050
O 5.961 -15.080 -4.659
Sb 1.166 -5.204 -1.888
O -1.288 -9.349 -9.796
O 4.733 -9.033 -5.063
O 8.285 -11.036 -8.965
Sb 2.758 -1.735 -4.277
Sb 5.926 -15.990 -6.529
O 0.887 -12.134 -0.975
Br 4.402 -11.122 -8.047
O 6.634 -7.477 -5.528
O 5.860 -13.388 -2.456
Sb 4.527 -6.131 -12.109
Br 3.337 -5.452 -8.759
Sb 4.858 -7.576 -6.630
Br -0.375 -3.341 -5.038
Sb 5.009 -14.249 -12.618
Sb -1.161 -6.531 -5.908
Br 1.772 -8.330 -6.459
O 2.583 -9.147 -2.997
Sb 2.800 -8.964 -10.246
O 5.206 -12.280 -12.992
O 1.441 -10.420 -9.443
Sb -0.177 -6.604 -9.216
Sb -0.029 -15.004 -5.730
O 6.252 -5.932 -7.412
O 7.453 -11.870 -6.821
O 2.522 -14.500 -1.056
O 3.652 -4.953 -13.450
Sb 7.674 -5.719 -5.973
Br 6.549 -16.112 -9.468
O 1.868 -6.161 -3.652
O 1.989 -13.284 -9.123
Sb 6.352 -12.849 -5.290
O -0.078 -13.521 -7.094
Sb -1.500 -13.733 -8.533
Sb 3.819 -14.047 -9.055
Sb 0.788 -8.310 -3.235
O -0.474 -5.306 -7.643
O 0.746 -16.418 -6.904
O 5.428 -3.035 -7.602
Sb 1.647 -13.322 -2.397
O 7.462 -10.104 -4.710
O -1.817 -15.273 -6.776
O 8.102 -13.131 -4.371
Sb 5.386 -11.143 -11.271
Br 2.837 -14.001 -5.747
O 5.311 -14.238 -14.930
Sb 9.484 -14.278 -5.269
O 5.287 -7.319 -13.531
Sb -1.689 -9.586 -7.189
O 0.968 -7.173 -1.514
Sb 7.335 -12.922 -8.598
Sb 1.316 -11.877 -7.876
CELL_PARAMETERS angstrom
-4.349 -4.093 -8.551
8.239 -1.600 -7.347
2.284 -13.760 1.392


Entry 3:
! SbBrO3 (SCAN, single point on PBEsol structure); values from VASP
! magnetic moment: 2.109 μB per formula unit
! SG: Pm-3m, No. 221
! raw total energy: -77.39 eV for the cell shown
! D(E_F): 0.1385 states/eV/atom
&SYSTEM
  ibrav = 0, nat = 5, ntyp = 3
/
ATOMIC_SPECIES
Sb 121.76 Sb.upf
O 16.00 O.upf
Br 79.90 Br.upf
ATOMIC_POSITIONS angstrom
Sb 2.006 2.006 2.006
O 2.006 2.006 0.000
O 0.000 2.006 2.006
O 2.006 0.000 2.006
Br 0.000 0.000 0.000
CELL_PARAMETERS angstrom
4.012 0.000 0.000
0.000 4.012 0.000
0.000 0.000 4.012


Entry 4:
! Sb2TeBrO (SCAN, single point on PBEsol structure); values from VASP
! magnetic moment: 1.581 μB per formula unit
! SG: P4/mmm, No. 123
! raw total energy: -129.91 eV for the cell shown
! D(E_F): 1.7069 states/eV/atom
&SYSTEM
  ibrav = 0, nat = 5, ntyp = 4
/
ATOMIC_SPECIES
Br 79.90 Br.upf
O 16.00 O.upf
Te 127.60 Te.upf
Sb 121.76 Sb.upf
ATOMIC_POSITIONS angstrom
Br 0.000 0.000 0.000
O 2.704 2.749 2.749
Te 2.704 0.000 0.000
Sb 0.000 0.000 2.749
Sb 0.000 2.749 0.000
CELL_PARAMETERS angstrom
5.409 0.000 0.000
0.000 5.499 0.000
0.000 0.000 5.499


Entry 5:
! ScBr2O (SCAN, single point on PBEsol structure); values from VASP
! magnetic moment: 0.000 μB per formula unit
! SG: R-3m, No. 166
! raw total energy: -62.03 eV for the cell shown
! D(E_F): 0.4148 states/eV/atom
&SYSTEM
  ibrav = 0, nat = 4, ntyp = 3
/
ATOMIC_SPECIES
Br 79.90 Br.upf
Sc 44.96 Sc.upf
O 16.00 O.upf
ATOMIC_POSITIONS angstrom
Br -5.153 -2.038 1.260
Sc -5.532 0.562 0.726
Br -5.911 3.163 0.192
O 0.000 0.000 0.000
CELL_PARAMETERS angstrom
-1.983 2.665 1.614
-2.533 1.853 -1.947
-6.548 -3.394 1.785


Entry 6:
! ScBrO (SCAN, single point on PBEsol structure); values from VASP
! magnetic moment: 0.000 μB per formula unit
! SG: Pmmn, No. 59
! raw total energy: -98.18 eV for the cell shown
! D(E_F): 0.0000 states/eV/atom
&SYSTEM
  ibrav = 0, nat = 6, ntyp = 3
/
ATOMIC_SPECIES
Br 79.90 Br.upf
Sc 44.96 Sc.upf
O 16.00 O.upf
ATOMIC_POSITIONS angstrom
Br 0.000 1.971 1.539
Br 1.765 0.000 7.321
Sc 1.765 1.971 3.511
O 0.000 1.971 4.704
Sc 0.000 0.000 5.348
O 1.765 0.000 4.156
CELL_PARAMETERS angstrom
3.529 0.000 0.000
0.000 3.942 0.000
0.000 0.000 8.860


Entry 7:
! ScBrO (SCAN, single point on PBEsol structure); values from VASP
! magnetic moment: 0.000 μB per formula unit
! SG: P4/nmm, No. 129
! raw total energy: -97.88 eV for the cell shown
! D(E_F): 0.0000 states/eV/atom
&SYSTEM
  ibrav = 0, nat = 6, ntyp = 3
/
ATOMIC_SPECIES
Sc 44.96 Sc.upf
O 16.00 O.upf
Br 79.90 Br.upf
ATOMIC_POSITIONS angstrom
Sc 0.000 1.791 1.033
O 1.791 1.791 0.000
Br 0.000 1.791 5.830
Br 1.791 0.000 2.676
O 0.000 0.000 0.000
Sc 1.791 0.000 7.473
CELL_PARAMETERS angstrom
3.582 0.000 0.000
0.000 3.582 0.000
0.000 0.000 8.506


Entry 8:
! ScBr3O (SCAN, single point on PBEsol structure); values from VASP
! magnetic moment: 0.633 μB per formula unit
! SG: Pm-3m, No. 221
! raw total energy: -78.99 eV for the cell shown
! D(E_F): 1.1647 states/eV/atom
&SYSTEM
  ibrav = 0, nat = 5, ntyp = 3
/
ATOMIC_SPECIES
Br 79.90 Br.upf
Sc 44.96 Sc.upf
O 16.00 O.upf
ATOMIC_POSITIONS angstrom
Br -1.423 1.733 -0.676
Sc -2.819 -0.282 -2.903
Br -1.813 -1.482 0.016
Br 0.417 -0.533 -2.242
O 0.000 0.000 0.000
CELL_PARAMETERS angstrom
-2.845 3.466 -1.353
0.833 -1.066 -4.484
-3.626 -2.965 0.031


Entry 9:
! ScBr3O (SCAN, single point on PBEsol structure); values from VASP
! magnetic moment: 2.000 μB per formula unit
! SG: Pm-3m, No. 221
! raw total energy: -82.56 eV for the cell shown
! D(E_F): 1.4684 states/eV/atom
&SYSTEM
  ibrav = 0, nat = 5, ntyp = 3
/
ATOMIC_SPECIES
Sc 44.96 Sc.upf
Br 79.90 Br.upf
O 16.00 O.upf
ATOMIC_POSITIONS angstrom
Sc 0.000 0.000 0.000
Br -0.313 -2.579 0.016
Br -0.567 0.053 -2.534
Br -2.516 0.309 0.569
O -3.395 -2.216 -1.950
CELL_PARAMETERS angstrom
-1.133 0.107 -5.069
-0.626 -5.157 0.031
-5.031 0.618 1.138


Entry 10:
! SeBrO2 (SCAN, single point on PBEsol structure); values from VASP
! magnetic moment: 0.729 μB per formula unit
! SG: Fd-3m, No. 227
! raw total energy: -103.89 eV for the cell shown
! D(E_F): 0.7548 states/eV/atom
&SYSTEM
  ibrav = 0, nat = 8, ntyp = 3
/
ATOMIC_SPECIES
O 16.00 O.upf
Se 78.96 Se.upf
Br 79.90 Br.upf
ATOMIC_POSITIONS angstrom
O 4.524 0.871 0.616
Se 0.000 0.000 0.000
Se 3.016 1.741 1.231
Br 6.031 3.482 2.462
O 3.016 3.482 0.616
O 1.508 0.871 0.616
Br 9.047 5.223 3.694
O 3.016 1.741 3.078
CELL_PARAMETERS angstrom
6.031 0.000 0.000
3.016 5.223 0.000
3.016 1.741 4.925


Entry 11:
! TlSe2BrO (SCAN, single point on PBEsol structure); values from VASP
! magnetic moment: 0.001 μB per formula unit
! SG: P4/mmm, No. 123
! raw total energy: -138.05 eV for the cell shown
! D(E_F): 0.6530 states/eV/atom
&SYSTEM
  ibrav = 0, nat = 5, ntyp = 4
/
ATOMIC_SPECIES
O 16.00 O.upf
Se 78.96 Se.upf
Br 79.90 Br.upf
Tl 204.38 Tl.upf
ATOMIC_POSITIONS angstrom
O 0.000 0.000 0.000
Se 2.095 0.000 0.000
Br 0.000 0.000 3.181
Tl 2.095 2.095 3.181
Se 0.000 2.095 0.000
CELL_PARAMETERS angstrom
4.190 0.000 0.000
0.000 4.190 0.000
0.000 0.000 6.362


Entry 12:
! ZrSe2BrO (SCAN, single point on PBEsol structure); values from VASP
! magnetic moment: 2.673 μB per formula unit
! SG: P4/mmm, No. 123
! raw total energy: -97.38 eV for the cell shown
! D(E_F): 1.2146 states/eV/atom
&SYSTEM
  ibrav = 0, nat = 5, ntyp = 4
/
ATOMIC_SPECIES
Br 79.90 Br.upf
Se 78.96 Se.upf
Zr 91.22 Zr.upf
O 16.00 O.upf
ATOMIC_POSITIONS angstrom
Br 0.000 0.000 2.613
Se 0.000 2.571 0.000
Zr 0.000 0.000 0.000
O 2.571 2.571 2.613
Se 2.571 0.000 0.000
CELL_PARAMETERS angstrom
5.142 0.000 0.000
0.000 5.142 0.000
0.000 0.000 5.225


Entry 13:
! SiBr3O (SCAN, single point on PBEsol structure); values from VASP
! magnetic moment: 2.036 μB per formula unit
! SG: Pm-3m, No. 221
! raw total energy: -72.54 eV for the cell shown
! D(E_F): 1.1746 states/eV/atom
&SYSTEM
  ibrav = 0, nat = 5, ntyp = 3
/
ATOMIC_SPECIES
Br 79.90 Br.upf
O 16.00 O.upf
Si 28.09 Si.upf
ATOMIC_POSITIONS angstrom
Br 2.250 -0.800 -0.676
Br 0.657 -0.167 2.388
Br -0.815 -2.344 0.061
O 2.092 -3.311 1.773
Si 0.000 0.000 0.000
CELL_PARAMETERS angstrom
-1.631 -4.687 0.122
4.500 -1.601 -1.351
1.315 -0.334 4.775


Entry 14:
! Si2BrO (SCAN, single point on PBEsol structure); values from VASP
! magnetic moment: 0.000 μB per formula unit
! SG: Fm-3m, No. 225
! raw total energy: -42.32 eV for the cell shown
! D(E_F): 0.2273 states/eV/atom
&SYSTEM
  ibrav = 0, nat = 4, ntyp = 3
/
ATOMIC_SPECIES
Br 79.90 Br.upf
Si 28.09 Si.upf
O 16.00 O.upf
ATOMIC_POSITIONS angstrom
Br 4.436 2.561 1.811
Si 6.654 3.842 2.716
Si 2.218 1.281 0.905
O 0.000 0.000 0.000
CELL_PARAMETERS angstrom
4.436 0.000 0.000
2.218 3.842 0.000
2.218 1.281 3.622


Entry 15:
! SmBrO (SCAN, single point on PBEsol structure); values from VASP
! magnetic moment: 0.000 μB per formula unit
! SG: P4/nmm, No. 129
! raw total energy: -159.51 eV for the cell shown
! D(E_F): 0.0000 states/eV/atom
&SYSTEM
  ibrav = 0, nat = 6, ntyp = 3
/
ATOMIC_SPECIES
Sm 150.36 Sm.upf
Br 79.90 Br.upf
O 16.00 O.upf
ATOMIC_POSITIONS angstrom
Sm -1.951 0.656 0.976
Sm -0.926 6.866 1.779
Br -0.681 3.296 -0.277
O 0.000 0.000 0.000
Br -2.195 4.226 3.032
O -2.399 0.558 -1.255
CELL_PARAMETERS angstrom
-1.036 1.828 -3.297
-3.763 -0.711 0.787
-0.477 6.964 4.011


Entry 16:
! SnBrO2 (SCAN, single point on PBEsol structure); values from VASP
! magnetic moment: 0.003 μB per formula unit
! SG: R-3m, No. 166
! raw total energy: -71.94 eV for the cell shown
! D(E_F): 0.3212 states/eV/atom
&SYSTEM
  ibrav = 0, nat = 4, ntyp = 3
/
ATOMIC_SPECIES
Sn 118.71 Sn.upf
O 16.00 O.upf
Br 79.90 Br.upf
ATOMIC_POSITIONS angstrom
Sn 3.153 1.820 4.840
O 1.576 0.910 5.868
Br 0.000 0.000 0.000
O 4.729 2.730 3.812
CELL_PARAMETERS angstrom
3.153 0.000 0.000
1.576 2.730 0.000
1.576 0.910 9.680


Entry 17:
! SnBr2O (SCAN, single point on PBEsol structure); values from VASP
! magnetic moment: 2.654 μB per formula unit
! SG: R-3m, No. 166
! raw total energy: -79.00 eV for the cell shown
! D(E_F): 0.3377 states/eV/atom
&SYSTEM
  ibrav = 0, nat = 4, ntyp = 3
/
ATOMIC_SPECIES
O 16.00 O.upf
Br 79.90 Br.upf
Sn 118.71 Sn.upf
ATOMIC_POSITIONS angstrom
O 3.466 2.001 4.310
Br 1.733 1.001 5.944
Sn 0.000 0.000 0.000
Br 5.199 3.002 2.676
CELL_PARAMETERS angstrom
3.466 0.000 0.000
1.733 3.002 0.000
1.733 1.001 8.620


Entry 18:
! Sr4Br6O (SCAN, single point on PBEsol structure); values from VASP
! magnetic moment: 0.000 μB per formula unit
! SG: P4_2/nmc, No. 137
! raw total energy: -477.78 eV for the cell shown
! D(E_F): 0.0000 states/eV/atom
&SYSTEM
  ibrav = 0, nat = 22, ntyp = 3
/
ATOMIC_SPECIES
Br 79.90 Br.upf
Sr 87.62 Sr.upf
O 16.00 O.upf
ATOMIC_POSITIONS angstrom
Br -3.598 -2.700 2.969
Br -4.800 0.672 0.423
Sr -1.300 -4.591 2.025
Sr -0.896 -4.931 7.145
Sr -2.873 -1.658 0.116
Sr -6.600 0.803 5.388
Br -5.925 -2.723 0.286
Br -6.628 1.862 8.325
Br -3.294 -2.956 6.828
Sr -7.742 -0.064 0.606
Sr -6.231 -4.425 2.784
Sr -2.407 -0.569 4.966
Br -1.236 0.097 7.783
Br -6.964 -1.755 7.196
O -1.125 -3.394 -0.137
Br -7.074 2.238 2.656
Sr -5.884 -4.718 7.192
Br -0.481 -2.899 4.660
Br -1.683 0.473 2.114
Br -7.268 -1.498 3.338
Br -1.606 -6.294 4.523
O -4.155 1.167 5.219
CELL_PARAMETERS angstrom
-2.250 -6.789 -0.273
0.751 -0.632 9.528
-9.061 2.967 0.911


Entry 19:
! Sr4Br6O (SCAN, single point on PBEsol structure); values from VASP
! magnetic moment: 0.112 μB per formula unit
! SG: P6_3mc, No. 186
! raw total energy: -480.04 eV for the cell shown
! D(E_F): 0.0000 states/eV/atom
&SYSTEM
  ibrav = 0, nat = 22, ntyp = 3
/
ATOMIC_SPECIES
Br 79.90 Br.upf
Sr 87.62 Sr.upf
O 16.00 O.upf
ATOMIC_POSITIONS angstrom
Br 0.109 0.355 7.233
Br -9.565 1.108 3.628
Sr 0.135 -2.537 2.258
O -6.067 -0.674 3.883
Br -6.702 -1.831 7.589
Br -3.535 -0.683 6.284
Br -5.099 -0.786 0.289
Br 1.917 -2.937 7.589
O -0.040 -3.770 4.280
Br -3.404 -4.452 6.204
Sr -6.912 0.762 5.559
Br -4.244 2.624 5.013
Br -1.575 -2.696 8.998
Br -0.945 0.002 3.628
Sr -1.548 -5.587 4.022
Sr -0.886 -2.335 5.956
Sr -4.025 0.234 3.082
Sr -7.667 -0.803 2.133
Sr -5.708 -2.815 4.845
Br -3.139 -2.799 3.002
Br -6.783 -3.837 2.054
Sr 2.094 -4.549 4.970
CELL_PARAMETERS angstrom
-2.687 4.563 5.326
-9.135 -2.602 -2.379
4.914 -5.046 6.802


Entry 20:
! Sr2VBrO4 (SCAN, single point on PBEsol structure); values from VASP
! magnetic moment: 0.000 μB per formula unit
! SG: Pbcm, No. 57
! raw total energy: -523.32 eV for the cell shown
! D(E_F): 0.0000 states/eV/atom
&SYSTEM
  ibrav = 0, nat = 32, ntyp = 4
/
ATOMIC_SPECIES
O 16.00 O.upf
Sr 87.62 Sr.upf
Br 79.90 Br.upf
V 50.94 V.upf
ATOMIC_POSITIONS angstrom
O -9.083 -6.723 -4.075
Sr 0.524 -2.881 -3.314
Sr -4.849 -4.769 -2.522
O -4.632 -5.404 -0.015
O -7.548 -8.285 2.614
O -3.590 -5.137 -4.776
Sr -5.696 -11.024 -2.306
Br -0.499 -7.884 -1.305
O -8.124 -11.281 -1.058
O -4.728 -7.295 2.198
V -4.737 -3.798 0.558
Br -7.820 -4.547 -1.273
O -2.055 -6.699 1.913
O 0.764 -5.709 1.497
O -3.687 -7.028 -2.562
O -4.913 -2.808 -0.823
Br -1.799 -4.297 -1.572
Sr -6.851 -6.187 1.391
O -3.405 -9.624 -1.754
Sr -2.622 -1.407 -0.272
Sr -1.467 -6.245 -3.968
Br -6.520 -8.135 -1.005
O -9.350 -7.061 0.680
V 1.791 -6.746 -3.927
O 1.032 -5.370 -3.258
O -0.771 -4.146 -5.191
Sr -3.469 -7.663 -0.056
V 0.636 -1.910 -0.234
O -0.195 -1.150 -1.519
O -6.263 -5.732 -4.490
V -3.582 -8.634 -3.135
Sr 1.904 -5.775 -0.848
CELL_PARAMETERS angstrom
-0.226 -1.949 -6.179
2.654 -6.707 2.018
-10.746 -3.776 1.584


Entry 21:
! TaBrO2 (SCAN, single point on PBEsol structure); values from VASP
! magnetic moment: 0.001 μB per formula unit
! SG: R-3m, No. 166
! raw total energy: -98.76 eV for the cell shown
! D(E_F): 1.0121 states/eV/atom
&SYSTEM
  ibrav = 0, nat = 4, ntyp = 3
/
ATOMIC_SPECIES
Br 79.90 Br.upf
O 16.00 O.upf
Ta 180.95 Ta.upf
ATOMIC_POSITIONS angstrom
Br 3.054 1.763 3.884
O 4.581 2.645 1.844
O 1.527 0.882 5.925
Ta 0.000 0.000 0.000
CELL_PARAMETERS angstrom
3.054 0.000 0.000
1.527 2.645 0.000
1.527 0.882 7.769